A relaxed structure of BaGeS2, computed with PBE.

Values from the calculation:
E_tot   -4.86 eV/atom

POSCAR file:
```
BaGeS2
1.0
7.667 0.000 0.000
0.000 9.364 0.000
-2.292 0.000 6.663
Ba Ge S
4 4 8
Cartesian
1.915 1.015 0.005
0.769 3.666 3.336
4.606 5.697 3.327
3.461 8.348 6.659
1.917 6.304 0.007
0.771 7.741 3.339
4.604 1.622 3.324
3.458 3.059 6.656
-0.324 6.233 1.826
-1.470 7.812 5.158
1.876 6.228 4.836
3.022 7.818 1.504
2.353 1.546 5.159
3.499 3.136 1.827
6.846 1.551 1.506
5.700 3.130 4.837
```

A relaxed structure of Ba3GeS5, computed with PBE.

Values from the calculation:
E_tot   -5.01 eV/atom
Energy relative to the lowest polymorph listed for this composition   22 meV/atom

POSCAR file:
```
Ba3GeS5
1.0
-4.280 4.280 6.945
4.280 -4.280 6.945
4.280 4.280 -6.945
Ba Ge S
6 2 10
Cartesian
5.694 1.413 0.000
0.000 0.000 3.473
1.413 2.867 0.000
2.867 1.413 6.945
0.000 0.000 10.418
-1.413 2.867 6.945
4.280 0.000 3.473
0.000 4.280 3.473
0.000 0.000 0.000
5.512 -1.231 2.104
3.049 -1.231 4.841
3.049 1.231 2.104
5.512 1.231 4.841
0.000 0.000 6.945
-1.231 3.049 2.104
1.231 3.049 4.841
1.231 5.512 2.104
-1.231 5.512 4.841
```

Q: E_tot of number 2 (Ba3GeS5)?
A: -5.01 eV/atom

Q: The lowest E_tot belongs to which entry?
A: Ba3GeS5

Q: Which value of E_tot does entry 1 give?
A: -4.86 eV/atom

Q: Look up the E_tot of the second one.
A: -5.01 eV/atom